[1]
# Ca2Sn2I PBE relaxed
# Magnetization = 0.00 μB/cell
# D(E_F) = 2.1 states/eV/cell
# Raw formation energy = -0.682 eV/atom
data_Ca2Sn2I
_chemical_formula_sum 'Ca4 Sn4 I2'
_cell_length_a 8.653
_cell_length_b 8.653
_cell_length_c 4.478
_cell_angle_alpha 90.00
_cell_angle_beta 90.00
_cell_angle_gamma 90.00
_space_group_name_H-M_alt 'P 4/m b m'
_space_group_IT_number 127
_space_group_name_Hall '-P 4 2ab'
loop_
_atom_site_label
_atom_site_type_symbol
_atom_site_fract_x
_atom_site_fract_y
_atom_site_fract_z
_atom_site_occupancy
Ca1 Ca 0.179 0.321 0.000 1
Sn1 Sn 0.112 0.612 0.500 1
I1 I 0.000 0.000 0.000 1

[2]
# Mn3TlH PBE relaxed
# Magnetization = 9.11 μB/cell
# D(E_F) = 2.3 states/eV/cell
# Polymorph energy (0 for the lowest one) = 0.000 eV per atom
data_Mn3TlH
_chemical_formula_sum 'Mn3 Tl1 H1'
_cell_length_a 3.993
_cell_length_b 3.993
_cell_length_c 3.993
_cell_angle_alpha 90.00
_cell_angle_beta 90.00
_cell_angle_gamma 90.00
_space_group_name_H-M_alt 'P m -3 m'
_space_group_IT_number 221
_space_group_name_Hall '-P 4 2 3'
loop_
_atom_site_label
_atom_site_type_symbol
_atom_site_fract_x
_atom_site_fract_y
_atom_site_fract_z
_atom_site_occupancy
Mn1 Mn 0.000 0.000 0.500 1
Tl1 Tl 0.500 0.500 0.500 1
H1 H 0.000 0.000 0.000 1

[3]
# AcCeOs PBE relaxed
# DFT formation energy = -83 meV/atom
# Magnetization = 0.00 μB/cell
# D(E_F) = 8.6 states/eV/cell
# Polymorph energy (0 for the lowest one) = 0.000 eV per atom
data_AcCeOs
_chemical_formula_sum 'Ac2 Ce2 Os2'
_cell_length_a 4.602
_cell_length_b 4.941
_cell_length_c 7.490
_cell_angle_alpha 90.98
_cell_angle_beta 91.91
_cell_angle_gamma 94.69
_space_group_name_H-M_alt 'P -1'
_space_group_IT_number 2
loop_
_space_group_symop_operation_xyz
'x,y,z'
'-x,-y,-z'
loop_
_atom_site_label
_atom_site_type_symbol
_atom_site_fract_x
_atom_site_fract_y
_atom_site_fract_z
_atom_site_occupancy
Ac1 Ac 0.246 0.243 0.374 1
Ce1 Ce 0.243 0.733 0.013 1
Os1 Os 0.304 0.183 0.782 1

[4]
# Mg5ZnIn2Rh2 PBE relaxed
# DFT formation energy = -270 meV/atom
# Magnetization = 0.00 μB/cell
# D(E_F) = 7.6 states/eV/cell
data_Mg5ZnIn2Rh2
_chemical_formula_sum 'Mg10 Zn2 In4 Rh4'
_cell_length_a 9.621
_cell_length_b 9.621
_cell_length_c 4.183
_cell_angle_alpha 90.00
_cell_angle_beta 90.00
_cell_angle_gamma 90.00
_space_group_name_H-M_alt 'P 4/m b m'
_space_group_IT_number 127
_space_group_name_Hall '-P 4 2ab'
loop_
_atom_site_label
_atom_site_type_symbol
_atom_site_fract_x
_atom_site_fract_y
_atom_site_fract_z
_atom_site_occupancy
Mg1 Mg 0.000 0.500 0.000 1
Mg2 Mg 0.078 0.205 0.000 1
Zn1 Zn 0.000 0.000 0.500 1
In1 In 0.173 0.673 0.500 1
Rh1 Rh 0.120 0.380 0.500 1

[5]
# TlCdSiSn2 PBE relaxed
# Magnetization = 0.00 μB/cell
# D(E_F) = 3.0 states/eV/cell
# Raw formation energy = 0.444 eV/atom
data_TlCdSiSn2
_chemical_formula_sum 'Tl1 Cd1 Si1 Sn2'
_cell_length_a 5.262
_cell_length_b 5.262
_cell_length_c 5.424
_cell_angle_alpha 90.00
_cell_angle_beta 90.00
_cell_angle_gamma 90.00
_space_group_name_H-M_alt 'P 4/m m m'
_space_group_IT_number 123
_space_group_name_Hall '-P 4 2'
loop_
_atom_site_label
_atom_site_type_symbol
_atom_site_fract_x
_atom_site_fract_y
_atom_site_fract_z
_atom_site_occupancy
Tl1 Tl 0.000 0.000 0.000 1
Cd1 Cd 0.500 0.500 0.000 1
Si1 Si 0.000 0.000 0.500 1
Sn1 Sn 0.000 0.500 0.500 1

[6]
# Zr3Br PBE relaxed
# Magnetization = 0.00 μB/cell
# D(E_F) = 4.4 states/eV/cell
# Polymorph energy (0 for the lowest one) = 0.283 eV per atom
# Raw formation energy = 0.031 eV/atom
data_Zr3Br
_chemical_formula_sum 'Zr3 Br1'
_cell_length_a 3.263
_cell_length_b 5.202
_cell_length_c 5.364
_cell_angle_alpha 90.00
_cell_angle_beta 90.24
_cell_angle_gamma 90.00
_space_group_name_H-M_alt 'P 1 2/m 1'
_space_group_IT_number 10
loop_
_space_group_symop_operation_xyz
'x,y,z'
'-x,-y,-z'
'-x,y,-z'
'x,-y,z'
loop_
_atom_site_label
_atom_site_type_symbol
_atom_site_fract_x
_atom_site_fract_y
_atom_site_fract_z
_atom_site_occupancy
Zr1 Zr 0.000 0.000 0.000 1
Zr2 Zr 0.321 0.500 0.768 1
Br1 Br 0.500 0.000 0.500 1